No. 1
{
  "formula": "B5C",
  "functional": "PBE-GGA",
  "state": "relaxed",
  "cell": [[2.768, 0.000, 0.000], [-1.384, 2.397, 0.000], [0.000, 0.000, 16.710]],
  "species": ["B", "B", "B", "B", "B", "B", "B", "B", "B", "B", "C", "C"],
  "fractional_positions": [[0.000, 0.000, 0.131], [0.000, 0.000, 0.350], [0.000, 0.000, 0.650], [0.000, 0.000, 0.869], [0.333, 0.667, 0.369], [0.333, 0.667, 0.470], [0.333, 0.667, 0.970], [0.667, 0.333, 0.030], [0.667, 0.333, 0.530], [0.667, 0.333, 0.631], [0.333, 0.667, 0.876], [0.667, 0.333, 0.124]],
  "sg": "P-3m1",
  "formation_enthalpy_0k_kj_per_mol_fu": 337
}



No. 2
{
  "formula": "Dy2Y5Th",
  "functional": "PBE-GGA",
  "state": "relaxed",
  "cell": [[7.135, 0.000, 0.000], [0.000, 14.306, 0.000], [0.000, 0.000, 5.044]],
  "species": ["Dy", "Dy", "Dy", "Dy", "Y", "Y", "Y", "Y", "Y", "Y", "Y", "Y", "Y", "Y", "Th", "Th"],
  "fractional_positions": [[0.245, 0.123, 0.000], [0.255, 0.623, 0.000], [0.745, 0.377, 0.000], [0.755, 0.877, 0.000], [0.000, 0.500, 0.500], [0.001, 0.248, 0.500], [0.244, 0.877, 0.000], [0.256, 0.377, 0.000], [0.499, 0.748, 0.500], [0.500, 0.000, 0.500], [0.501, 0.252, 0.500], [0.744, 0.623, 0.000], [0.756, 0.123, 0.000], [0.999, 0.752, 0.500], [0.000, 0.000, 0.500], [0.500, 0.500, 0.500]],
  "sg": "Pbam",
  "formation_enthalpy_0k_kj_per_mol_fu": 22
}



No. 3
{
  "formula": "MnGe2Ir",
  "functional": "PBE-GGA",
  "state": "relaxed",
  "cell": [[-3.539, 3.539, 2.706], [3.539, -3.539, 2.706], [3.539, 3.539, -2.706]],
  "species": ["Mn", "Mn", "Ge", "Ge", "Ge", "Ge", "Ir", "Ir"],
  "fractional_positions": [[0.000, 0.000, 0.000], [0.750, 0.250, 0.500], [0.148, 0.125, 0.523], [0.375, 0.852, 0.977], [0.602, 0.625, 0.477], [0.875, 0.398, 0.023], [0.250, 0.750, 0.500], [0.500, 0.500, 0.000]],
  "sg": "I-42d",
  "formation_enthalpy_0k_kj_per_mol_fu": 83
}



No. 4
{
  "formula": "TiHO3",
  "functional": "PBE-GGA",
  "state": "relaxed",
  "cell": [[1.479, -7.942, 0.000], [1.479, 7.942, 0.000], [0.000, 0.000, 4.649]],
  "species": ["Ti", "Ti", "H", "H", "O", "O", "O", "O", "O", "O"],
  "fractional_positions": [[0.110, 0.890, 0.750], [0.890, 0.110, 0.250], [0.353, 0.647, 0.750], [0.647, 0.353, 0.250], [0.003, 0.997, 0.250], [0.353, 0.647, 0.003], [0.353, 0.647, 0.497], [0.647, 0.353, 0.503], [0.647, 0.353, 0.997], [0.997, 0.003, 0.750]],
  "sg": "Cmcm",
  "energy_ev_per_atom": -6.955
}



No. 5
{
  "formula": "GeOsI",
  "functional": "PBE-GGA",
  "state": "relaxed",
  "cell": [[3.189, 0.000, 0.000], [1.587, 4.344, 0.000], [1.155, -0.322, 10.763]],
  "species": ["Ge", "Ge", "Os", "Os", "I", "I"],
  "fractional_positions": [[0.131, 0.314, 0.393], [0.869, 0.686, 0.607], [0.404, 0.758, 0.411], [0.596, 0.242, 0.589], [0.498, 0.256, 0.841], [0.502, 0.744, 0.159]],
  "formation_energy_uncorrected_kcal_per_mol_atoms": 5.61,
  "sg": "P-1"
}



No. 6
{
  "formula": "BaSnTe2N",
  "functional": "PBE-GGA",
  "state": "relaxed",
  "cell": [[5.973, 0.000, 0.000], [0.000, 5.973, 0.000], [0.000, 0.000, 4.256]],
  "species": ["Ba", "Sn", "Te", "Te", "N"],
  "fractional_positions": [[0.000, 0.000, 0.000], [0.500, 0.500, 0.500], [0.000, 0.500, 0.500], [0.500, 0.000, 0.500], [0.500, 0.500, 0.000]],
  "formation_energy_uncorrected_kcal_per_mol_atoms": -2.87,
  "sg": "P4/mmm"
}



No. 7
{
  "formula": "HRh2Au2",
  "functional": "PBE-GGA",
  "state": "relaxed",
  "cell": [[5.359, 0.000, 0.000], [0.000, 5.359, 0.000], [0.000, 0.000, 4.895]],
  "species": ["H", "H", "Rh", "Rh", "Rh", "Rh", "Au", "Au", "Au", "Au"],
  "fractional_positions": [[0.000, 0.000, 0.000], [0.500, 0.500, 0.000], [0.172, 0.328, 0.000], [0.328, 0.828, 0.000], [0.672, 0.172, 0.000], [0.828, 0.672, 0.000], [0.178, 0.678, 0.500], [0.322, 0.178, 0.500], [0.678, 0.822, 0.500], [0.822, 0.322, 0.500]],
  "sg": "P4/mbm",
  "energy_ev_per_atom": -4.713
}



No. 8
{
  "formula": "SrThBN3",
  "functional": "PBE-GGA",
  "state": "relaxed",
  "cell": [[5.691, 0.000, 0.000], [-2.846, 4.929, 0.000], [0.000, 0.000, 6.592]],
  "species": ["Sr", "Sr", "Th", "Th", "B", "B", "N", "N", "N", "N", "N", "N"],
  "fractional_positions": [[0.333, 0.667, 0.250], [0.667, 0.333, 0.750], [0.000, 0.000, 0.000], [0.000, 0.000, 0.500], [0.333, 0.667, 0.750], [0.667, 0.333, 0.250], [0.183, 0.366, 0.750], [0.183, 0.817, 0.750], [0.366, 0.183, 0.250], [0.634, 0.817, 0.750], [0.817, 0.183, 0.250], [0.817, 0.634, 0.250]],
  "formation_energy_uncorrected_kcal_per_mol_atoms": -27.27,
  "sg": "P6_3/mmc"
}



No. 9
{
  "formula": "Na2MnBr2Cl2",
  "functional": "PBE-GGA",
  "state": "relaxed",
  "cell": [[6.741, -2.042, 0.000], [6.741, 2.042, 0.000], [-2.530, 0.000, 6.844]],
  "species": ["Na", "Na", "Mn", "Br", "Br", "Cl", "Cl"],
  "fractional_positions": [[0.226, 0.226, 0.224], [0.774, 0.774, 0.776], [0.000, 0.000, 0.500], [0.398, 0.398, 0.629], [0.602, 0.602, 0.371], [0.143, 0.143, 0.815], [0.857, 0.857, 0.185]],
  "formation_energy_uncorrected_kcal_per_mol_atoms": -30.88,
  "sg": "C2/m"
}



No. 10
{
  "formula": "HfMg3Tc",
  "functional": "PBE-GGA",
  "state": "relaxed",
  "cell": [[4.859, 0.000, 0.000], [0.000, 4.859, 0.000], [0.000, 0.000, 4.859]],
  "species": ["Hf", "Mg", "Mg", "Mg", "Tc"],
  "fractional_positions": [[0.000, 0.000, 0.000], [0.000, 0.500, 0.500], [0.500, 0.000, 0.500], [0.500, 0.500, 0.000], [0.500, 0.500, 0.500]],
  "sg": "Pm-3m",
  "formation_enthalpy_0k_kj_per_mol_fu": 454
}



No. 11
{
  "formula": "ErTmGa2",
  "functional": "PBE-GGA",
  "state": "relaxed",
  "cell": [[1.794, 1.036, 8.657], [-1.794, 1.036, 8.657], [0.000, -2.071, 8.657]],
  "species": ["Er", "Tm", "Ga", "Ga"],
  "fractional_positions": [[0.000, 0.000, 0.000], [0.500, 0.500, 0.500], [0.250, 0.250, 0.250], [0.750, 0.750, 0.750]],
  "sg": "R-3m",
  "formation_enthalpy_0k_kj_per_mol_fu": -165
}



No. 12
{
  "formula": "KMoBr3",
  "functional": "PBE-GGA",
  "state": "relaxed",
  "cell": [[5.893, 0.000, 0.000], [0.000, 5.893, 0.000], [0.000, 0.000, 5.893]],
  "species": ["K", "Mo", "Br", "Br", "Br"],
  "fractional_positions": [[0.000, 0.000, 0.000], [0.500, 0.500, 0.500], [0.000, 0.000, 0.500], [0.000, 0.500, 0.000], [0.500, 0.000, 0.000]],
  "formation_energy_uncorrected_kcal_per_mol_atoms": 11.07,
  "sg": "Pm-3m"
}